# Ba3GaGe3 PBE relaxed
data_Ba3GaGe3
_chemical_formula_sum 'Ba9 Ga3 Ge9'
_space_group_name_H-M_alt 'R 3 m'
_space_group_IT_number 160
_space_group_name_Hall 'R 3 -2"'
_cell_length_a 10.8913
_cell_length_b 10.8913
_cell_length_c 6.7892
_cell_angle_alpha 90.00
_cell_angle_beta 90.00
_cell_angle_gamma 120.00
loop_
_atom_site_label
_atom_site_fract_x
_atom_site_fract_y
_atom_site_fract_z
_atom_site_occupancy
Ba1 0.1952 0.3904 0.0000 1
Ga1 0.0000 0.0000 0.8313 1
Ge1 0.1978 0.3957 0.5000 1
# energy above the lowest structure with this stoichiometry = 286 meV/atom
# volume = 232 Å³/f.u.
# ΔH_f (0 K) = -0.2808 eV per atom
# M_tot = 0.0 μB per formula unit


# CdP2Ru PBE relaxed
data_CdP2Ru
_chemical_formula_sum 'Cd4 P8 Ru4'
_space_group_name_H-M_alt 'F -4 3 m'
_space_group_IT_number 216
_space_group_name_Hall 'F -4 2 3'
_cell_length_a 6.320
_cell_length_b 6.320
_cell_length_c 6.320
_cell_angle_alpha 90.00
_cell_angle_beta 90.00
_cell_angle_gamma 90.00
loop_
_atom_site_label
_atom_site_fract_x
_atom_site_fract_y
_atom_site_fract_z
_atom_site_occupancy
Cd1 0.000 0.000 0.000 1
P1 0.000 0.000 0.500 1
P2 0.250 0.250 0.750 1
Ru1 0.250 0.250 0.250 1
# volume = 63 Å³/f.u.
# ΔH_f (0 K) = 0.6934 eV per atom
# M_tot = 0.0 μB per formula unit


# YBe2 PBE relaxed
data_YBe2
_chemical_formula_sum 'Y4 Be8'
_space_group_name_H-M_alt 'C m c m'
_space_group_IT_number 63
_space_group_name_Hall '-C 2c 2'
_cell_length_a 3.724
_cell_length_b 15.101
_cell_length_c 3.755
_cell_angle_alpha 90.00
_cell_angle_beta 90.00
_cell_angle_gamma 90.00
loop_
_atom_site_label
_atom_site_fract_x
_atom_site_fract_y
_atom_site_fract_z
_atom_site_occupancy
Y1 0.000 0.108 0.250 1
Be1 0.000 0.251 0.750 1
Be2 0.000 0.321 0.250 1
# volume = 53 Å³/f.u.
# ΔH_f (0 K) = 0.0577 eV per atom
# M_tot = 0.0 μB per formula unit


# CdNi3As PBE relaxed
data_CdNi3As
_chemical_formula_sum 'Cd1 Ni3 As1'
_space_group_name_H-M_alt 'P m -3 m'
_space_group_IT_number 221
_space_group_name_Hall '-P 4 2 3'
_cell_length_a 4.354
_cell_length_b 4.354
_cell_length_c 4.354
_cell_angle_alpha 90.00
_cell_angle_beta 90.00
_cell_angle_gamma 90.00
loop_
_atom_site_label
_atom_site_fract_x
_atom_site_fract_y
_atom_site_fract_z
_atom_site_occupancy
Cd1 0.000 0.000 0.000 1
Ni1 0.000 0.500 0.500 1
As1 0.500 0.500 0.500 1
# energy above the lowest structure with this stoichiometry = 246 meV/atom
# volume = 83 Å³/f.u.
# ΔH_f (0 K) = 0.2239 eV per atom
# M_tot = 0.0 μB per formula unit


# Tl2HgBi2 PBE relaxed
data_Tl2HgBi2
_chemical_formula_sum 'Tl2 Hg1 Bi2'
_space_group_name_H-M_alt 'P 1 2/m 1'
_space_group_IT_number 10
_cell_length_a 5.689
_cell_length_b 3.366
_cell_length_c 8.826
_cell_angle_alpha 90.00
_cell_angle_beta 107.08
_cell_angle_gamma 90.00
loop_
_space_group_symop_operation_xyz
'x,y,z'
'-x,-y,-z'
'-x,y,-z'
'x,-y,z'
loop_
_atom_site_label
_atom_site_fract_x
_atom_site_fract_y
_atom_site_fract_z
_atom_site_occupancy
Tl1 0.116 0.000 0.217 1
Hg1 0.500 0.500 0.000 1
Bi1 0.294 0.500 0.595 1
# energy above the lowest structure with this stoichiometry = 0 meV/atom
# volume = 162 Å³/f.u.
# ΔH_f (0 K) = -0.0094 eV per atom
# M_tot = 0.0 μB per formula unit


# AcHgSe2 PBE relaxed
data_AcHgSe2
_chemical_formula_sum 'Ac3 Hg3 Se6'
_space_group_name_H-M_alt 'R -3 m'
_space_group_IT_number 166
_space_group_name_Hall '-R 3 2"'
_cell_length_a 4.6481
_cell_length_b 4.6481
_cell_length_c 20.5568
_cell_angle_alpha 90.00
_cell_angle_beta 90.00
_cell_angle_gamma 120.00
loop_
_atom_site_label
_atom_site_fract_x
_atom_site_fract_y
_atom_site_fract_z
_atom_site_occupancy
Ac1 0.0000 0.0000 0.0000 1
Hg1 0.0000 0.0000 0.5000 1
Se1 0.0000 0.0000 0.2558 1
# energy above the lowest structure with this stoichiometry = 25 meV/atom
# volume = 128 Å³/f.u.
# M_tot = 0.0 μB per formula unit
# raw formation energy = -1.088 eV/atom